Computed, not measured: Ba2ZnSiOs after structural relaxation at the PBE level of DFT.

Values from the calculation:
- uncorrected energy (eV per atom) = -3.464
- formation energy (no corrections) (eV/atom) = 0.8902

a = 6.215 Å, b = 6.215 Å, c = 4.313 Å
α = 90.00°, β = 90.00°, γ = 90.00°
Element x y z (fractional)
Ba1 0.000 0.500 0.000
Ba2 0.500 0.000 0.000
Zn1 0.000 0.000 0.000
Si1 0.000 0.000 0.500
Os1 0.500 0.500 0.500


Computed, not measured: BaSm3Os after structural relaxation at the PBE level of DFT.

Values from the calculation:
- uncorrected energy (eV per atom) = -5.452
- calculated formation energy (meV per atom) = 10

a = 5.665 Å, b = 5.665 Å, c = 5.665 Å
α = 90.00°, β = 90.00°, γ = 90.00°
Element x y z (fractional)
Ba1 0.000 0.000 0.000
Sm1 0.000 0.500 0.500
Sm2 0.500 0.000 0.500
Sm3 0.500 0.500 0.000
Os1 0.500 0.500 0.500


Computed, not measured: Ba3SnOs after structural relaxation at the PBE level of DFT.

Values from the calculation:
- uncorrected energy (eV per atom) = -3.945
- calculated formation energy (meV per atom) = 255

a = 5.901 Å, b = 5.901 Å, c = 5.901 Å
α = 90.00°, β = 90.00°, γ = 90.00°
Element x y z (fractional)
Ba1 0.000 0.000 0.500
Ba2 0.000 0.500 0.000
Ba3 0.500 0.000 0.000
Sn1 0.500 0.500 0.500
Os1 0.000 0.000 0.000


Computed, not measured: Ba2SnOs after structural relaxation at the PBE level of DFT.

Values from the calculation:
- uncorrected energy (eV per atom) = -4.582
- calculated formation energy (meV per atom) = 188

a = 11.622 Å, b = 11.622 Å, c = 5.175 Å
α = 90.00°, β = 90.00°, γ = 90.00°
Element x y z (fractional)
Ba1 0.081 0.250 0.125
Ba2 0.250 0.581 0.375
Ba3 0.250 0.919 0.875
Ba4 0.419 0.250 0.625
Ba5 0.581 0.750 0.625
Ba6 0.750 0.081 0.875
Ba7 0.750 0.419 0.375
Ba8 0.919 0.750 0.125
Sn1 0.000 0.000 0.500
Sn2 0.000 0.500 0.750
Sn3 0.500 0.000 0.250
Sn4 0.500 0.500 0.000
Os1 0.000 0.000 0.000
Os2 0.000 0.500 0.250
Os3 0.500 0.000 0.750
Os4 0.500 0.500 0.500


Computed, not measured: BaSnOs3 after structural relaxation at the PBE level of DFT.

Values from the calculation:
- uncorrected energy (eV per atom) = -6.021
- calculated formation energy (meV per atom) = 1902

a = 5.007 Å, b = 5.007 Å, c = 5.007 Å
α = 90.00°, β = 90.00°, γ = 90.00°
Element x y z (fractional)
Ba1 0.000 0.000 0.000
Sn1 0.500 0.500 0.500
Os1 0.000 0.500 0.500
Os2 0.500 0.000 0.500
Os3 0.500 0.500 0.000


Computed, not measured: BaSn3Os after structural relaxation at the PBE level of DFT.

Values from the calculation:
- uncorrected energy (eV per atom) = -2.614
- calculated formation energy (meV per atom) = 2418

a = 5.888 Å, b = 5.888 Å, c = 5.888 Å
α = 90.00°, β = 90.00°, γ = 90.00°
Element x y z (fractional)
Ba1 0.000 0.000 0.000
Sn1 0.000 0.000 0.500
Sn2 0.000 0.500 0.000
Sn3 0.500 0.000 0.000
Os1 0.500 0.500 0.500